Record 1
Material: YZn8Co4
Method: DFT, PBE-GGA
State: relaxed

Results
SG	I4/mmm (139)
DFT total energy	-3.634	eV/atom
DFT formation energy	-0.1666	eV/atom

Structure (extended XYZ):
```
13
Lattice="-1.890 -4.309 1.654 0.370 -4.785 -4.525 4.552 -3.746 2.960" Properties=species:S:1:pos:R:3 pbc="T T T"
Y 0.000 0.000 0.000
Zn 3.132 -4.099 0.419
Zn 1.790 -4.433 -1.984
Zn 2.610 -7.098 -0.473
Zn 0.423 -5.742 0.561
Zn 0.368 -6.705 -2.011
Zn 2.664 -6.135 2.099
Zn 0.591 -3.106 0.101
Zn 2.442 -9.734 -0.013
Co 2.276 -1.873 1.480
Co 1.331 -4.028 2.307
Co 0.185 -2.393 -2.263
Co -0.760 -4.547 -1.436
```

Record 2
Material: Na2Cd2BiO6
Method: DFT, PBE-GGA
State: relaxed

Results
formation energy (no corrections)	-1077	meV per atom
SG	C2/m (12)
DFT total energy	-4.541	eV/atom

Structure (extended XYZ):
```
11
Lattice="-3.485 0.088 4.596 5.660 -0.562 0.962 -0.297 5.757 -1.777" Properties=species:S:1:pos:R:3 pbc="T T T"
Na -1.884 -0.026 3.960
Na 4.058 -0.449 1.599
Cd 2.430 2.535 1.298
Cd -0.552 2.747 2.483
Bi -0.148 2.879 -0.889
O 1.464 3.679 3.026
O 1.732 3.920 -0.664
O 0.414 1.603 0.755
O -1.221 4.130 0.510
O 0.146 1.362 4.445
O 3.099 1.152 3.271
```

Record 3
Material: LaAsBr2
Method: DFT, PBE-GGA
State: relaxed

Results
formation energy (no corrections)	-649	meV per atom
SG	R-3m (166)
excess energy over the best structure of this formula in the dataset	620.2	meV/atom
DFT total energy	-3.880	eV/atom

Structure (extended XYZ):
```
4
Lattice="-6.088 5.028 7.724 -6.736 1.401 8.641 -3.633 3.162 9.940" Properties=species:S:1:pos:R:3 pbc="T T T"
As -12.343 7.193 19.729
Br -16.131 9.401 25.783
Br -8.555 4.986 13.674
La -4.114 2.398 6.576
```

Record 4
Material: TmZn2Cu8
Method: DFT, PBE-GGA
State: relaxed

Results
SG	P4/mmm (123)
DFT total energy	-3.382	eV/atom
DFT formation energy	0.2351	eV/atom

Structure (extended XYZ):
```
11
Lattice="6.130 0.000 0.000 0.000 6.130 0.000 0.000 0.000 4.815" Properties=species:S:1:pos:R:3 pbc="T T T"
Tm 3.065 3.065 2.408
Zn 3.065 0.000 0.000
Zn 0.000 3.065 0.000
Cu 4.902 4.902 1.219
Cu 4.902 1.228 3.596
Cu 4.902 4.902 3.596
Cu 4.902 1.228 1.219
Cu 1.228 4.902 1.219
Cu 1.228 4.902 3.596
Cu 1.228 1.228 1.219
Cu 1.228 1.228 3.596
```

Record 5
Material: SrPr2Os
Method: DFT, PBE-GGA
State: relaxed

Results
SG	R-3m (166)
excess energy over the best structure of this formula in the dataset	119.3	meV/atom
DFT total energy	-5.413	eV/atom
DFT formation energy	0.2043	eV/atom

Structure (extended XYZ):
```
4
Lattice="4.161 0.000 0.000 2.080 3.603 0.000 2.080 1.201 11.149" Properties=species:S:1:pos:R:3 pbc="T T T"
Pr 2.080 1.201 7.098
Pr 6.241 3.603 4.051
Sr 0.000 0.000 0.000
Os 4.161 2.402 5.574
```

Record 6
Material: La2Be3AlPt4
Method: DFT, PBE-GGA
State: relaxed

Results
SG	P-4m2 (115)
DFT total energy	-5.806	eV/atom
DFT formation energy	-0.9121	eV/atom

Structure (extended XYZ):
```
10
Lattice="4.130 0.000 0.000 0.000 4.130 0.000 0.000 0.000 10.160" Properties=species:S:1:pos:R:3 pbc="T T T"
La 2.065 0.000 2.467
La 0.000 2.065 7.693
Be 0.000 0.000 5.080
Be 2.065 0.000 9.003
Be 0.000 2.065 1.157
Al 2.065 2.065 5.080
Pt 2.065 2.065 0.000
Pt 0.000 0.000 0.000
Pt 2.065 0.000 6.484
Pt 0.000 2.065 3.676
```

Record 7
Material: Cu2Re
Method: DFT, PBE-GGA
State: relaxed

Results
SG	I4/mmm (139)
excess energy over the best structure of this formula in the dataset	67.8	meV/atom
DFT total energy	-6.624	eV/atom
DFT formation energy	0.2560	eV/atom

Structure (extended XYZ):
```
3
Lattice="6.114 -0.002 0.000 5.014 3.499 0.000 -5.564 -1.748 1.835" Properties=species:S:1:pos:R:3 pbc="T T T"
Cu 0.047 0.015 0.000
Cu 7.372 2.316 0.000
Re 3.709 1.166 0.000
```

Record 8
Material: SmZrRhAu
Method: DFT, PBE-GGA
State: relaxed

Results
SG	F-43m (216)
DFT total energy	-6.550	eV/atom
DFT formation energy	-0.5757	eV/atom

Structure (extended XYZ):
```
4
Lattice="-2.752 -3.531 2.033 1.162 -1.775 4.436 -2.842 1.025 3.880" Properties=species:S:1:pos:R:3 pbc="T T T"
Rh 0.000 0.000 0.000
Au -2.216 -2.141 5.174
Zr -3.323 -3.211 7.761
Sm -1.108 -1.070 2.587
```

Record 9
Material: La2Pm3Sn4
Method: DFT, PBE-GGA
State: relaxed

Results
SG	Cmce (64)
excess energy over the best structure of this formula in the dataset	157.1	meV/atom
DFT total energy	-5.105	eV/atom
DFT formation energy	-0.6470	eV/atom

Structure (extended XYZ):
```
18
Lattice="7.228 0.000 0.000 0.000 9.151 0.000 -3.614 0.000 8.782" Properties=species:S:1:pos:R:3 pbc="T T T"
La 0.000 5.383 1.935
La 3.614 3.768 6.847
La 0.000 0.807 6.847
La 3.614 8.343 1.935
Pm 0.000 0.000 0.000
Pm 3.614 4.575 0.000
Pm 1.807 6.863 5.157
Pm 5.421 2.288 3.625
Pm 1.807 2.288 3.625
Pm -1.807 6.863 5.157
Sn 1.807 6.863 8.258
Sn 5.421 2.288 0.524
Sn 1.807 2.288 0.524
Sn -1.807 6.863 8.258
Sn 0.000 8.630 3.249
Sn 3.614 0.520 5.532
Sn 0.000 4.055 5.532
Sn 3.614 5.096 3.249
```

Record 10
Material: Tb2AgHg2
Method: DFT, PBE-GGA
State: relaxed

Results
SG	P4/mbm (127)
excess energy over the best structure of this formula in the dataset	0.0	meV/atom
DFT total energy	-2.889	eV/atom
DFT formation energy	-0.3458	eV/atom

Structure (extended XYZ):
```
10
Lattice="4.014 0.000 0.000 0.000 7.957 0.000 0.000 0.000 7.957" Properties=species:S:1:pos:R:3 pbc="T T T"
Tb 2.007 1.318 5.296
Tb 2.007 5.296 6.638
Tb 2.007 6.638 2.660
Tb 2.007 2.660 1.318
Ag 0.000 0.000 0.000
Ag 0.000 3.978 3.978
Hg 0.000 2.896 6.875
Hg 0.000 6.875 5.060
Hg 0.000 5.060 1.082
Hg 0.000 1.082 2.896
```

Record 11
Material: AcHIr
Method: DFT, PBE-GGA
State: relaxed

Results
SG	P-6m2 (187)
excess energy over the best structure of this formula in the dataset	452.6	meV/atom
DFT total energy	-5.557	eV/atom

Structure (extended XYZ):
```
3
Lattice="-3.631 -0.578 -1.491 -0.401 -3.350 2.275 -1.177 3.609 1.467" Properties=species:S:1:pos:R:3 pbc="T T T"
H -1.524 1.193 1.488
Ac -3.080 -1.416 1.012
Ir -0.605 -0.096 -0.249
```

Record 12
Material: Sm2CuSn
Method: DFT, PBE-GGA
State: relaxed

Results
SG	Immm (71)
DFT total energy	-4.478	eV/atom
DFT formation energy	-0.0941	eV/atom

Structure (extended XYZ):
```
8
Lattice="4.791 0.000 0.000 0.000 9.216 0.000 -2.396 -2.306 5.054" Properties=species:S:1:pos:R:3 pbc="T T T"
Sm -0.001 4.608 1.741
Sm 2.396 2.303 3.312
Sm 0.001 0.000 1.741
Sm 2.395 6.911 3.312
Cu 4.789 6.912 0.000
Cu 0.002 2.304 0.000
Sn 2.398 2.304 0.000
Sn 2.394 6.912 0.000
```